Record 1
DFT (PBE) results for a geometry-optimized V2Ir4Ru structure.

Results
energy relative to the elements = -0.1454 eV per atom
D(E_F) = 11.9 states/eV/cell
magnetic moment = 0.00 μB/cell

a b c (Å): 6.9651 8.0037 3.7656
angles (deg): 90.00 90.00 90.00
Last column: nearest neighbours and their distance in Å.
Space group Cmmm (No. 65)
One atom of each set of equivalent atoms:
1 V 0.0000 0.2343 0.0000  8 Ir 2.57-2.74, 2 Ru 2.66
2 Ir 0.2132 0.5000 0.0000  4 V 2.59-2.74, 2 Ru 2.75, 4 Ir 2.76
3 Ir 0.2500 0.2500 0.5000  4 V 2.57, 2 Ru 2.65, 4 Ir 2.76
4 Ru 0.0000 0.0000 0.5000  8 Ir 2.65-2.75, 4 V 2.66

=====

Record 2
DFT (PBE) results for a geometry-optimized Li2CdBiH structure.

Results
D(E_F) = 1.1 states/eV/cell
magnetic moment = 0.00 μB/cell

a b c (Å): 4.4044 4.4044 4.4821
angles (deg): 90.00 90.00 90.00
Last column: nearest neighbours and their distance in Å.
Space group P4/mmm (No. 123)
One atom of each set of equivalent atoms:
1 Li 0.0000 0.5000 0.0000  2 H 2.20
2 Cd 0.0000 0.0000 0.5000  2 H 2.24
3 Bi 0.5000 0.5000 0.5000  4 Cd 3.11, 8 Li 3.14
4 H 0.0000 0.0000 0.0000  4 Li 2.20, 2 Cd 2.24

=====

Number 1: VASP energy -127.95 eV for the cell shown. Number 2: VASP energy -13.21 eV for the cell shown.